[1]
KTe2Au | PBEsol | optimized geometry

Output
* size of the total moment: 0.00 Bohr magnetons per cell
* D(E_F): 0.15 states/eV per atom
* SG: Immm, No. 71
* formation energy (no corrections): -0.41 eV/atom

a b c (Å): 4.025 6.183 6.401
angles (deg): 118.88 108.33 90.00
Sites, in units of the cell vectors:
K  0.000  0.500  0.000
Te  0.833  0.833  0.665
Te  0.167  0.167  0.335
Au  0.500  0.000  0.000

[2]
BeAs2IrSe | PBEsol | optimized geometry

Output
* size of the total moment: 0.00 Bohr magnetons per cell
* D(E_F): 0.62 states/eV per atom
* SG: P4/mmm, No. 123
* formation energy (no corrections): 0.96 eV/atom

a b c (Å): 4.606 4.606 5.347
angles (deg): 90.00 90.00 90.00
Sites, in units of the cell vectors:
Be  0.500  0.500  0.500
As  0.000  0.500  0.000
As  0.500  0.000  0.000
Ir  0.000  0.000  0.000
Se  0.000  0.000  0.500

[3]
Y2MgIr | PBEsol | optimized geometry

Output
* size of the total moment: 0.00 Bohr magnetons per cell
* D(E_F): 0.82 states/eV per atom
* ΔE_f: -0.467 eV per atom
* SG: P4/mmm, No. 123

a b c (Å): 3.472 3.472 7.722
angles (deg): 90.00 90.00 90.00
Sites, in units of the cell vectors:
Y  0.000  0.000  0.792
Y  0.000  0.000  0.208
Mg  0.500  0.500  0.500
Ir  0.500  0.500  0.000

[4]
BaNdAgS3 | PBEsol | optimized geometry

Output
* size of the total moment: 0.00 Bohr magnetons per cell
* D(E_F): 0.00 states/eV per atom
* SG: Cmcm, No. 63
* formation energy (no corrections): -1.66 eV/atom

a b c (Å): 4.141 7.112 10.450
angles (deg): 90.00 90.00 106.93
Sites, in units of the cell vectors:
Ba  0.747  0.495  0.250
Ba  0.253  0.505  0.750
Nd  0.000  0.000  0.000
Nd  0.000  0.000  0.500
Ag  0.471  0.943  0.250
Ag  0.529  0.057  0.750
S  0.363  0.725  0.058
S  0.637  0.275  0.942
S  0.363  0.725  0.442
S  0.637  0.275  0.558
S  0.079  0.158  0.250
S  0.921  0.842  0.750